1.
## Sr3N2 (PBE-GGA)

Data for a relaxed Sr3N2 crystal.

Computed properties:
The energy relative to the elements, uncorrected comes out at -0.4965 eV per atom. The value obtained for the density of states at the Fermi level is 0.52 states/eV per atom. Its crystal system is trigonal. The raw total energy comes out at -4.8358 eV/atom.

Lattice parameters (Å, degrees): 6.6544 6.6544 19.0086 90.00 90.00 120.00
Space group R-3 (No. 148, hexagonal axes)
Unique sites:
Sr: 0.0114 0.7020 0.0950 [18 per cell]
N: 0.0000 0.0000 0.0000 [3 per cell]
N: 0.0000 0.0000 0.1872 [6 per cell]
N: 0.0000 0.0000 0.5000 [3 per cell]

---

2.
## Sr3N2 (PBE-GGA)

Data for a relaxed Sr3N2 crystal.

Computed properties:
The energy relative to the elements, uncorrected comes out at -0.5144 eV per atom. The value obtained for the density of states at the Fermi level is 0.02 states/eV per atom. Its crystal system is cubic. The raw total energy comes out at -4.8536 eV/atom.

Lattice parameters (Å, degrees): 12.339 12.339 12.339 90.00 90.00 90.00
Space group Ia-3 (No. 206)
Unique sites:
Sr: 0.111 0.156 0.616 [48 per cell]
N: 0.000 0.250 0.456 [24 per cell]
N: 0.250 0.250 0.250 [8 per cell]

---

3.
## Sr5N2 (PBE-GGA)

Data for a relaxed Sr5N2 crystal.

Computed properties:
The energy relative to the elements, uncorrected comes out at -0.3770 eV per atom. The value obtained for the density of states at the Fermi level is 0.51 states/eV per atom. Its crystal system is monoclinic. The raw total energy comes out at -3.9570 eV/atom.

Lattice parameters (Å, degrees): 19.080 8.101 6.973 90.00 95.42 90.00
Space group C2/c (No. 15)
Unique sites:
Sr: 0.000 0.044 0.250 [4 per cell]
Sr: 0.107 0.352 0.901 [8 per cell]
Sr: 0.178 0.079 0.322 [8 per cell]
N: 0.099 0.081 0.015 [8 per cell]

---

4.
## SrN4 (PBE-GGA)

Data for a relaxed SrN4 crystal.

Computed properties:
The energy relative to the elements, uncorrected comes out at 3.0643 eV per atom. The value obtained for the density of states at the Fermi level is 0.70 states/eV per atom. Its crystal system is cubic. The raw total energy comes out at -3.9323 eV/atom.

Lattice parameters (Å, degrees): 5.299 5.299 5.299 90.00 90.00 90.00
Space group Pm-3m (No. 221)
Unique sites:
Sr: 0.000 0.000 0.000 [1 per cell]
N: 0.000 0.000 0.500 [3 per cell]
N: 0.500 0.500 0.500 [1 per cell]

---

5.
## Sr2N (PBE-GGA)

Data for a relaxed Sr2N crystal.

Computed properties:
The energy relative to the elements, uncorrected comes out at -0.5506 eV per atom. The value obtained for the density of states at the Fermi level is 0.31 states/eV per atom. Its crystal system is monoclinic. The raw total energy comes out at -4.4469 eV/atom.

Lattice parameters (Å, degrees): 6.675 3.854 7.002 90.00 90.15 90.00
Space group C2/m (No. 12)
Unique sites:
Sr: 0.167 0.000 0.196 [4 per cell]
N: 0.000 0.500 0.000 [2 per cell]

---

6.
## SrN (PBE-GGA)

Data for a relaxed SrN crystal.

Computed properties:
The energy relative to the elements, uncorrected comes out at 0.1117 eV per atom. The value obtained for the density of states at the Fermi level is 1.70 states/eV per atom. Its crystal system is cubic. The raw total energy comes out at -4.8919 eV/atom.

Lattice parameters (Å, degrees): 5.813 5.813 5.813 90.00 90.00 90.00
Space group F-43m (No. 216)
Unique sites:
Sr: 0.000 0.000 0.000 [4 per cell]
N: 0.250 0.250 0.250 [4 per cell]

---

7.
## SrN (PBE-GGA)

Data for a relaxed SrN crystal.

Computed properties:
The energy relative to the elements, uncorrected comes out at -0.5329 eV per atom. The value obtained for the density of states at the Fermi level is 0.37 states/eV per atom. Its crystal system is monoclinic. The raw total energy comes out at -5.5365 eV/atom.

Lattice parameters (Å, degrees): 13.687 3.795 6.759 90.00 94.82 90.00
Space group C2/m (No. 12)
Unique sites:
Sr: 0.146 0.000 0.406 [4 per cell]
Sr: 0.153 0.500 0.889 [4 per cell]
N: 0.022 0.500 0.583 [4 per cell]
N: 0.247 0.500 0.249 [4 per cell]

---

8.
## Sr2TaN2 (PBE-GGA)

Data for a relaxed Sr2TaN2 crystal.

Computed properties:
The energy relative to the elements, uncorrected comes out at 1.4079 eV per atom. The value obtained for the density of states at the Fermi level is 0.58 states/eV per atom. Its crystal system is tetragonal. The raw total energy comes out at -4.9655 eV/atom.

Lattice parameters (Å, degrees): 3.925 3.925 11.510 90.00 90.00 90.00
Space group I4/mmm (No. 139)
Unique sites:
Sr: 0.000 0.500 0.250 [4 per cell]
Ta: 0.000 0.000 0.000 [2 per cell]
N: 0.000 0.000 0.388 [4 per cell]

---

9.
## SrTa2N4 (PBE-GGA)

Data for a relaxed SrTa2N4 crystal.

Computed properties:
The energy relative to the elements, uncorrected comes out at -1.0806 eV per atom. Its crystal system is orthorhombic. The raw total energy comes out at -9.4647 eV/atom.

Lattice parameters (Å, degrees): 3.152 10.573 10.718 90.00 90.00 90.00
Space group Cmcm (No. 63)
Unique sites:
Sr: 0.000 0.110 0.250 [4 per cell]
Ta: 0.000 0.365 0.074 [8 per cell]
N: 0.000 0.000 0.000 [4 per cell]
N: 0.000 0.255 0.604 [8 per cell]
N: 0.000 0.424 0.250 [4 per cell]

---

10.
## Sr2TaN2 (PBE-GGA)

Data for a relaxed Sr2TaN2 crystal.

Computed properties:
The energy relative to the elements, uncorrected comes out at -0.0615 eV per atom. The value obtained for the density of states at the Fermi level is 0.62 states/eV per atom. Its crystal system is tetragonal. The raw total energy comes out at -6.4349 eV/atom.

Lattice parameters (Å, degrees): 6.391 6.391 4.137 90.00 90.00 90.00
Space group P4/mbm (No. 127)
Unique sites:
Sr: 0.152 0.348 0.000 [4 per cell]
Ta: 0.000 0.000 0.500 [2 per cell]
N: 0.197 0.697 0.500 [4 per cell]

---

11.
## Sr3Ta5N12 (PBE-GGA)

Data for a relaxed Sr3Ta5N12 crystal.

Computed properties:
The energy relative to the elements, uncorrected comes out at -0.6761 eV per atom. The value obtained for the density of states at the Fermi level is 0.48 states/eV per atom. Its crystal system is cubic. The raw total energy comes out at -8.8867 eV/atom.

Lattice parameters (Å, degrees): 13.454 13.454 13.454 90.00 90.00 90.00
Space group Ia-3d (No. 230)
Unique sites:
Sr: 0.000 0.250 0.125 [24 per cell]
Ta: 0.000 0.000 0.000 [16 per cell]
Ta: 0.000 0.250 0.375 [24 per cell]
N: 0.035 0.044 0.645 [96 per cell]

---

12.
## SrTa3N (PBE-GGA)

Data for a relaxed SrTa3N crystal.

Computed properties:
The energy relative to the elements, uncorrected comes out at 4.0518 eV per atom. The value obtained for the density of states at the Fermi level is 1.35 states/eV per atom. Its crystal system is cubic. The raw total energy comes out at -5.0612 eV/atom.

Lattice parameters (Å, degrees): 4.844 4.844 4.844 90.00 90.00 90.00
Space group Pm-3m (No. 221)
Unique sites:
Sr: 0.000 0.000 0.000 [1 per cell]
Ta: 0.000 0.000 0.500 [3 per cell]
N: 0.500 0.500 0.500 [1 per cell]

---

13.
## SrTa3N (PBE-GGA)

Data for a relaxed SrTa3N crystal.

Computed properties:
The energy relative to the elements, uncorrected comes out at 0.3124 eV per atom. The value obtained for the density of states at the Fermi level is 1.14 states/eV per atom. Its crystal system is cubic. The raw total energy comes out at -8.8006 eV/atom.

Lattice parameters (Å, degrees): 4.462 4.462 4.462 90.00 90.00 90.00
Space group Pm-3m (No. 221)
Unique sites:
Sr: 0.000 0.000 0.000 [1 per cell]
Ta: 0.000 0.500 0.500 [3 per cell]
N: 0.500 0.500 0.500 [1 per cell]

---

14.
## Sr4TaN4 (PBE-GGA)

Data for a relaxed Sr4TaN4 crystal.

Computed properties:
The energy relative to the elements, uncorrected comes out at -0.7517 eV per atom. The value obtained for the density of states at the Fermi level is 0.23 states/eV per atom. Its crystal system is tetragonal. The raw total energy comes out at -6.5163 eV/atom.

Lattice parameters (Å, degrees): 7.480 7.480 6.095 90.00 90.00 90.00
Space group P4_2/nmc (No. 137, origin choice 2)
Unique sites:
Sr: 0.036 0.250 0.122 [8 per cell]
Ta: 0.250 0.750 0.250 [2 per cell]
N: 0.038 0.750 0.447 [8 per cell]

---

15.
## Sr3Ta3N5 (PBE-GGA)

Data for a relaxed Sr3Ta3N5 crystal.

Computed properties:
The energy relative to the elements, uncorrected comes out at -0.8706 eV per atom. The value obtained for the density of states at the Fermi level is 0.44 states/eV per atom. Its crystal system is triclinic. The raw total energy comes out at -8.3460 eV/atom.

Lattice parameters (Å, degrees): 6.247 8.223 8.401 108.96 102.60 102.94
Space group P-1 (No. 2)
Unique sites:
Sr: 0.145 0.351 0.381 [2 per cell]
Sr: 0.179 0.183 0.733 [2 per cell]
Sr: 0.234 0.937 0.093 [2 per cell]
Ta: 0.228 0.518 0.098 [2 per cell]
Ta: 0.400 0.806 0.458 [2 per cell]
Ta: 0.407 0.626 0.814 [2 per cell]
N: 0.098 0.547 0.863 [2 per cell]
N: 0.231 0.249 0.072 [2 per cell]
N: 0.278 0.016 0.433 [2 per cell]
N: 0.293 0.733 0.640 [2 per cell]
N: 0.481 0.409 0.665 [2 per cell]

---

16.
## SrTa2N2 (PBE-GGA)

Data for a relaxed SrTa2N2 crystal.

Computed properties:
The energy relative to the elements, uncorrected comes out at 0.5042 eV per atom. The value obtained for the density of states at the Fermi level is 0.69 states/eV per atom. Its crystal system is tetragonal. The raw total energy comes out at -7.9034 eV/atom.

Lattice parameters (Å, degrees): 6.772 6.772 3.040 90.00 90.00 90.00
Space group P4/mbm (No. 127)
Unique sites:
Sr: 0.000 0.000 0.000 [2 per cell]
Ta: 0.135 0.365 0.500 [4 per cell]
N: 0.127 0.627 0.000 [4 per cell]

---

17.
## Sr5TaN6 (PBE-GGA)

Data for a relaxed Sr5TaN6 crystal.

Computed properties:
The energy relative to the elements, uncorrected comes out at -0.5691 eV per atom. The value obtained for the density of states at the Fermi level is 0.67 states/eV per atom. Its crystal system is monoclinic. The raw total energy comes out at -6.4203 eV/atom.

Lattice parameters (Å, degrees): 6.318 10.955 6.270 90.00 109.55 90.00
Space group C2/m (No. 12)
Unique sites:
Sr: 0.000 0.000 0.000 [2 per cell]
Sr: 0.000 0.167 0.500 [4 per cell]
Sr: 0.000 0.338 0.000 [4 per cell]
Ta: 0.000 0.500 0.500 [2 per cell]
N: 0.207 0.500 0.290 [4 per cell]
N: 0.212 0.361 0.717 [8 per cell]

---

18.
## SrTa2N2 (PBE-GGA)

Data for a relaxed SrTa2N2 crystal.

Computed properties:
The energy relative to the elements, uncorrected comes out at -0.2151 eV per atom. The value obtained for the density of states at the Fermi level is 0.32 states/eV per atom. Its crystal system is tetragonal. The raw total energy comes out at -8.6227 eV/atom.

Lattice parameters (Å, degrees): 3.683 3.683 12.072 90.00 90.00 90.00
Space group I4/mmm (No. 139)
Unique sites:
Sr: 0.000 0.000 0.000 [2 per cell]
Ta: 0.000 0.500 0.250 [4 per cell]
N: 0.000 0.000 0.362 [4 per cell]